Tb3Ga6Ni5 after structural relaxation, computed with PBE.

Cell: 4.1237 12.4667 8.9157 Å, 90.00 90.00 90.00°
Closest atoms and distances in Å follow each position.
Space group Pmmn (No. 59, origin choice 2)
Unique sites:
Tb 0.2500 0.0507 0.2471 [4 per cell]  8 Ga 2.91-3.12, 6 Ni 2.91-3.24
Tb 0.2500 0.7500 0.2631 [2 per cell]  6 Ni 2.86-3.09, 2 Ga 3.13
Ga 0.2500 0.0727 0.5901 [4 per cell]  4 Ni 2.49-2.66, 1 Ga 2.70
Ga 0.2500 0.2500 0.0358 [2 per cell]  4 Ni 2.48-2.62
Ga 0.2500 0.2500 0.4162 [2 per cell]  6 Ni 2.52-2.72, 2 Ga 2.70
Ga 0.2500 0.6000 0.9816 [4 per cell]  4 Ni 2.46-2.59
Ni 0.2500 0.0915 0.8684 [4 per cell]  5 Ga 2.46-2.59
Ni 0.2500 0.6380 0.5424 [4 per cell]  5 Ga 2.51-2.66, 2 Ni 2.56-2.79
Ni 0.2500 0.7500 0.7830 [2 per cell]  2 Ni 2.56, 6 Ga 2.58-2.72

Calculated values
formation energy: -0.60 eV/atom
raw total energy: -4.950 eV per atom


Tb2GaNi after structural relaxation, computed with PBE.

Cell: 3.3650 3.3650 28.9884 Å, 90.00 90.00 120.00°
Closest atoms and distances in Å follow each position.
Space group R-3m (No. 166, hexagonal axes)
Unique sites:
Tb 0.0000 0.0000 0.0873 [6 per cell]  1 Ni 2.53
Ga 0.0000 0.0000 0.5000 [3 per cell]  6 Tb 3.01, 6 Ga 3.36
Ni 0.0000 0.0000 0.0000 [3 per cell]  2 Tb 2.53

Calculated values
formation energy: 0.19 eV/atom
raw total energy: -4.328 eV per atom


TbGa9Ni3 after structural relaxation, computed with PBE.

Cell: 5.2334 12.5171 6.6389 Å, 90.00 111.14 90.00°
Closest atoms and distances in Å follow each position.
Space group C2/m (No. 12)
Unique sites:
Tb 0.0000 0.0000 0.0000 [2 per cell]  14 Ga 3.06-3.32, 6 Ni 3.39-3.41
Ga 0.0000 0.0000 0.5000 [2 per cell]  2 Ni 2.62, 8 Ga 2.69-2.78
Ga 0.0899 0.3898 0.2105 [8 per cell]  3 Ni 2.53-2.56, 5 Ga 2.61-2.76
Ga 0.1706 0.1795 0.3350 [8 per cell]  3 Ni 2.56-2.80, 4 Ga 2.70-2.78
Ni 0.0000 0.5000 0.5000 [2 per cell]  10 Ga 2.54-2.80
Ni 0.2500 0.2500 0.0000 [4 per cell]  8 Ga 2.53-2.65, 2 Ni 2.62

Calculated values
formation energy: -0.33 eV/atom
raw total energy: -4.118 eV per atom


Tb3Ga3Ni2 after structural relaxation, computed with PBE.

Cell: 4.3005 10.0986 14.5975 Å, 90.00 90.00 90.00°
Closest atoms and distances in Å follow each position.
Space group Cmcm (No. 63)
Unique sites:
Tb 0.0000 0.0874 0.1073 [8 per cell]  4 Ni 2.94-3.28, 7 Ga 3.06-3.21
Tb 0.0000 0.3696 0.2500 [4 per cell]  5 Ga 2.97-3.08, 4 Ni 3.13
Ga 0.0000 0.3332 0.7500 [4 per cell]  2 Ni 2.52
Ga 0.0000 0.3736 0.0390 [8 per cell]  3 Ni 2.47-2.68
Ni 0.0000 0.2040 0.6024 [8 per cell]  4 Ga 2.47-2.68

Calculated values
formation energy: -0.61 eV/atom
raw total energy: -4.931 eV per atom


Tb12Ga6Ni after structural relaxation, computed with PBE.

Cell: 12.8051 12.8051 11.9072 Å, 90.00 90.00 120.00°
Closest atoms and distances in Å follow each position.
Space group R-3 (No. 148, hexagonal axes)
Unique sites:
Tb 0.0362 0.8238 0.3943 [18 per cell]  4 Ga 2.90-3.09
Tb 0.0473 0.8476 0.8850 [18 per cell]  1 Ni 2.69, 2 Ga 2.96-2.98
Ga 0.0515 0.7815 0.6474 [18 per cell]  7 Tb 2.90-3.22
Ni 0.0000 0.0000 0.0000 [3 per cell]  6 Tb 2.69

Calculated values
formation energy: -0.21 eV/atom
raw total energy: -4.392 eV per atom


TbGaNi5 after structural relaxation, computed with PBE.

Cell: 7.8841 4.8268 9.9759 Å, 90.00 90.00 90.00°
Closest atoms and distances in Å follow each position.
Space group Pnma (No. 62)
Unique sites:
Tb 0.2464 0.2500 0.0591 [4 per cell]  6 Ni 2.75-2.87
Ga 0.1429 0.7500 0.8583 [4 per cell]  8 Ni 2.45-2.66
Ni 0.0541 0.7500 0.0934 [4 per cell]  4 Ni 2.45-2.58, 1 Ga 2.45
Ni 0.0657 0.0049 0.3059 [8 per cell]  7 Ni 2.37-2.50, 2 Ga 2.61-2.64
Ni 0.0949 0.2500 0.5172 [4 per cell]  5 Ni 2.43-2.50, 1 Ga 2.60
Ni 0.1860 0.2500 0.7511 [4 per cell]  7 Ni 2.38-2.58

Calculated values
formation energy: -0.39 eV/atom
raw total energy: -5.617 eV per atom